Record 1
## FeWNF2 (PBE with a Hubbard U)

Data for an optimized crystal structure of FeWNF2.

a = 3.716 Å, b = 3.716 Å, c = 4.452 Å
α = 90.00°, β = 90.00°, γ = 90.00°
Fractional positions:
Fe 0.000 0.000 0.000
W 0.500 0.500 0.500
N 0.000 0.000 0.500
F 0.000 0.500 0.000
F 0.500 0.000 0.000

The symmetry is No. 123.

Record 2
## YFeNF2 (PBE with a Hubbard U)

Data for an optimized crystal structure of YFeNF2.

a = 3.916 Å, b = 3.916 Å, c = 4.295 Å
α = 90.00°, β = 90.00°, γ = 90.00°
Fractional positions:
Y 0.000 0.000 0.000
Fe 0.500 0.500 0.500
N 0.500 0.500 0.000
F 0.000 0.500 0.500
F 0.500 0.000 0.500

The symmetry is No. 123.

Record 3
## YFeNF2 (PBE with a Hubbard U)

Data for an optimized crystal structure of YFeNF2.

a = 4.263 Å, b = 4.263 Å, c = 4.719 Å
α = 90.00°, β = 90.00°, γ = 90.00°
Fractional positions:
Y 0.000 0.000 0.000
Fe 0.500 0.500 0.500
N 0.000 0.000 0.500
F 0.000 0.500 0.000
F 0.500 0.000 0.000

The symmetry is No. 123.

Record 4
## YFeN2F (PBE with a Hubbard U)

Data for an optimized crystal structure of YFeN2F.

a = 3.910 Å, b = 3.910 Å, c = 3.889 Å
α = 90.00°, β = 90.00°, γ = 90.00°
Fractional positions:
Y 0.000 0.000 0.000
Fe 0.500 0.500 0.500
N 0.000 0.500 0.500
N 0.500 0.000 0.500
F 0.500 0.500 0.000

The symmetry is No. 123.

Record 5
## YFeN2F (PBE with a Hubbard U)

Data for an optimized crystal structure of YFeN2F.

a = 4.474 Å, b = 4.474 Å, c = 4.240 Å
α = 90.00°, β = 90.00°, γ = 90.00°
Fractional positions:
Y 0.000 0.000 0.000
Fe 0.500 0.500 0.500
N 0.000 0.500 0.000
N 0.500 0.000 0.000
F 0.000 0.000 0.500

The symmetry is No. 123.

Record 6
## ZnFeNF2 (PBE with a Hubbard U)

Data for an optimized crystal structure of ZnFeNF2.

a = 3.914 Å, b = 3.914 Å, c = 4.129 Å
α = 90.00°, β = 90.00°, γ = 90.00°
Fractional positions:
Zn 0.000 0.000 0.000
Fe 0.500 0.500 0.500
N 0.000 0.000 0.500
F 0.000 0.500 0.000
F 0.500 0.000 0.000

The symmetry is No. 123.

Record 7
## ZnFeN2F (PBE with a Hubbard U)

Data for an optimized crystal structure of ZnFeN2F.

a = 3.821 Å, b = 3.821 Å, c = 4.000 Å
α = 90.00°, β = 90.00°, γ = 90.00°
Fractional positions:
Zn 0.000 0.000 0.000
Fe 0.500 0.500 0.500
N 0.000 0.500 0.000
N 0.500 0.000 0.000
F 0.000 0.000 0.500

The symmetry is No. 123.

Record 8
## ZnFeNF2 (PBE with a Hubbard U)

Data for an optimized crystal structure of ZnFeNF2.

a = 3.870 Å, b = 3.870 Å, c = 4.169 Å
α = 90.00°, β = 90.00°, γ = 90.00°
Fractional positions:
Zn 0.000 0.000 0.000
Fe 0.500 0.500 0.500
N 0.500 0.500 0.000
F 0.000 0.500 0.500
F 0.500 0.000 0.500

The symmetry is No. 123.

Record 9
## ZnFeN2F (PBE with a Hubbard U)

Data for an optimized crystal structure of ZnFeN2F.

a = 3.802 Å, b = 3.802 Å, c = 3.980 Å
α = 90.00°, β = 90.00°, γ = 90.00°
Fractional positions:
Zn 0.000 0.000 0.000
Fe 0.500 0.500 0.500
N 0.000 0.500 0.500
N 0.500 0.000 0.500
F 0.500 0.500 0.000

The symmetry is No. 123.

Record 10
## ZrFeNF2 (PBE with a Hubbard U)

Data for an optimized crystal structure of ZrFeNF2.

a = 3.848 Å, b = 3.848 Å, c = 4.290 Å
α = 90.00°, β = 90.00°, γ = 90.00°
Fractional positions:
Zr 0.000 0.000 0.000
Fe 0.500 0.500 0.500
N 0.500 0.500 0.000
F 0.000 0.500 0.500
F 0.500 0.000 0.500

The symmetry is No. 123.

Record 11
## ZrFeNF2 (PBE with a Hubbard U)

Data for an optimized crystal structure of ZrFeNF2.

a = 4.205 Å, b = 4.205 Å, c = 4.254 Å
α = 90.00°, β = 90.00°, γ = 90.00°
Fractional positions:
Zr 0.000 0.000 0.000
Fe 0.500 0.500 0.500
N 0.000 0.000 0.500
F 0.000 0.500 0.000
F 0.500 0.000 0.000

The symmetry is No. 123.

Record 12
## NaFe3F (PBE with a Hubbard U)

Data for an optimized crystal structure of NaFe3F.

a = 4.845 Å, b = 4.845 Å, c = 4.845 Å
α = 90.00°, β = 90.00°, γ = 90.00°
Fractional positions:
Na 0.000 0.000 0.000
Fe 0.000 0.000 0.500
Fe 0.000 0.500 0.000
Fe 0.500 0.000 0.000
F 0.500 0.500 0.500

The symmetry is No. 221.

Record 13
## Na2FeF4 (PBE with a Hubbard U)

Data for an optimized crystal structure of Na2FeF4.

a = 6.285 Å, b = 5.541 Å, c = 6.310 Å
α = 90.00°, β = 118.01°, γ = 90.00°
Fractional positions:
Na 0.044 0.250 0.142
Na 0.401 0.250 0.884
Na 0.599 0.750 0.116
Na 0.956 0.750 0.858
Fe 0.334 0.750 0.496
Fe 0.666 0.250 0.504
F 0.010 0.250 0.771
F 0.248 0.750 0.765
F 0.388 0.001 0.262
F 0.388 0.499 0.262
F 0.612 0.501 0.738
F 0.612 0.999 0.738
F 0.752 0.250 0.235
F 0.990 0.750 0.229

The symmetry is No. 11.

Record 14
## NaFeF4 (PBE with a Hubbard U)

Data for an optimized crystal structure of NaFeF4.

a = 5.999 Å, b = 4.986 Å, c = 5.715 Å
α = 90.00°, β = 109.32°, γ = 90.00°
Fractional positions:
Na 0.000 0.000 0.000
Na 0.000 0.500 0.500
Fe 0.500 0.000 0.500
Fe 0.500 0.500 0.000
F 0.196 0.157 0.393
F 0.196 0.343 0.893
F 0.384 0.726 0.691
F 0.384 0.774 0.191
F 0.616 0.226 0.809
F 0.616 0.274 0.309
F 0.804 0.657 0.107
F 0.804 0.843 0.607

The symmetry is No. 14.

Record 15
## Na3Fe5F12 (PBE with a Hubbard U)

Data for an optimized crystal structure of Na3Fe5F12.

a = 11.472 Å, b = 11.472 Å, c = 11.472 Å
α = 109.47°, β = 109.47°, γ = 109.47°
Fractional positions:
Na 0.125 0.250 0.375
Na 0.125 0.375 0.750
Na 0.250 0.375 0.125
Na 0.250 0.875 0.625
Na 0.375 0.125 0.250
Na 0.375 0.750 0.125
Na 0.625 0.250 0.875
Na 0.625 0.875 0.750
Na 0.750 0.125 0.375
Na 0.750 0.625 0.875
Na 0.875 0.625 0.250
Na 0.875 0.750 0.625
Fe 0.000 0.000 0.000
Fe 0.000 0.000 0.500
Fe 0.000 0.500 0.000
Fe 0.000 0.500 0.500
Fe 0.125 0.750 0.875
Fe 0.125 0.875 0.250
Fe 0.250 0.125 0.875
Fe 0.250 0.625 0.375
Fe 0.375 0.250 0.625
Fe 0.375 0.625 0.750
Fe 0.500 0.000 0.000
Fe 0.500 0.000 0.500
Fe 0.500 0.500 0.000
Fe 0.500 0.500 0.500
Fe 0.625 0.375 0.250
Fe 0.625 0.750 0.375
Fe 0.750 0.375 0.625
Fe 0.750 0.875 0.125
Fe 0.875 0.125 0.750
Fe 0.875 0.250 0.125
F 0.026 0.204 0.114
F 0.026 0.323 0.912
F 0.088 0.614 0.411
F 0.088 0.974 0.677
F 0.089 0.704 0.677
F 0.089 0.886 0.412
F 0.114 0.026 0.204
F 0.114 0.588 0.911
F 0.177 0.204 0.589
F 0.177 0.474 0.588
F 0.204 0.114 0.026
F 0.204 0.589 0.177
F 0.296 0.323 0.911
F 0.296 0.474 0.386
F 0.323 0.911 0.296
F 0.323 0.912 0.026
F 0.386 0.296 0.474
F 0.386 0.589 0.912
F 0.411 0.088 0.614
F 0.411 0.823 0.796
F 0.412 0.089 0.886
F 0.412 0.823 0.526
F 0.474 0.386 0.296
F 0.474 0.588 0.177
F 0.526 0.412 0.823
F 0.526 0.614 0.704
F 0.588 0.177 0.474
F 0.588 0.911 0.114
F 0.589 0.177 0.204
F 0.589 0.912 0.386
F 0.614 0.411 0.088
F 0.614 0.704 0.526
F 0.677 0.088 0.974
F 0.677 0.089 0.704
F 0.704 0.526 0.614
F 0.704 0.677 0.089
F 0.796 0.411 0.823
F 0.796 0.886 0.974
F 0.823 0.526 0.412
F 0.823 0.796 0.411
F 0.886 0.412 0.089
F 0.886 0.974 0.796
F 0.911 0.114 0.588
F 0.911 0.296 0.323
F 0.912 0.026 0.323
F 0.912 0.386 0.589
F 0.974 0.677 0.088
F 0.974 0.796 0.886

The symmetry is No. 230.

Record 16
## NaFe3F9 (PBE with a Hubbard U)

Data for an optimized crystal structure of NaFe3F9.

a = 5.449 Å, b = 7.603 Å, c = 8.288 Å
α = 90.00°, β = 93.29°, γ = 90.00°
Fractional positions:
Na 0.039 0.250 0.442
Na 0.961 0.750 0.558
Fe 0.000 0.000 0.000
Fe 0.000 0.500 0.000
Fe 0.468 0.002 0.689
Fe 0.468 0.498 0.689
Fe 0.532 0.502 0.311
Fe 0.532 0.998 0.311
F 0.096 0.250 0.981
F 0.151 0.557 0.797
F 0.151 0.943 0.797
F 0.266 0.543 0.477
F 0.266 0.957 0.477
F 0.309 0.551 0.121
F 0.309 0.949 0.121
F 0.354 0.250 0.667
F 0.425 0.250 0.305
F 0.575 0.750 0.695
F 0.646 0.750 0.333
F 0.691 0.051 0.879
F 0.691 0.449 0.879
F 0.734 0.043 0.523
F 0.734 0.457 0.523
F 0.849 0.057 0.203
F 0.849 0.443 0.203
F 0.904 0.750 0.019

The symmetry is No. 11.

Record 17
## NaFe2F (PBE with a Hubbard U)

Data for an optimized crystal structure of NaFe2F.

a = 6.011 Å, b = 6.011 Å, c = 6.011 Å
α = 99.09°, β = 99.09°, γ = 133.16°
Fractional positions:
Na 0.000 0.000 0.000
Na 0.750 0.250 0.500
Fe 0.218 0.625 0.093
Fe 0.375 0.468 0.593
Fe 0.532 0.125 0.907
Fe 0.875 0.782 0.407
F 0.250 0.750 0.500
F 0.500 0.500 0.000

The symmetry is No. 122.

Record 18
## Na2Fe2F7 (PBE with a Hubbard U)

Data for an optimized crystal structure of Na2Fe2F7.

a = 7.111 Å, b = 7.111 Å, c = 3.860 Å
α = 90.40°, β = 90.40°, γ = 125.06°
Fractional positions:
Na 0.248 0.752 0.000
Na 0.752 0.248 0.000
Fe 0.251 0.251 0.750
Fe 0.748 0.748 0.287
F 0.097 0.404 0.755
F 0.253 0.253 0.252
F 0.404 0.097 0.755
F 0.552 0.552 0.763
F 0.597 0.904 0.251
F 0.904 0.597 0.251
F 0.950 0.950 0.756

The symmetry is No. 8.

Record 19
## Na2FeF4 (PBE with a Hubbard U)

Data for an optimized crystal structure of Na2FeF4.

a = 5.642 Å, b = 5.910 Å, c = 11.364 Å
α = 90.00°, β = 90.00°, γ = 90.00°
Fractional positions:
Na 0.003 0.074 0.153
Na 0.003 0.426 0.653
Na 0.497 0.574 0.153
Na 0.497 0.926 0.653
Na 0.503 0.074 0.347
Na 0.503 0.426 0.847
Na 0.997 0.574 0.347
Na 0.997 0.926 0.847
Fe 0.000 0.000 0.500
Fe 0.000 0.500 0.000
Fe 0.500 0.000 0.000
Fe 0.500 0.500 0.500
F 0.112 0.043 0.667
F 0.112 0.457 0.167
F 0.193 0.198 0.956
F 0.193 0.302 0.456
F 0.307 0.698 0.956
F 0.307 0.802 0.456
F 0.388 0.543 0.667
F 0.388 0.957 0.167
F 0.612 0.043 0.833
F 0.612 0.457 0.333
F 0.693 0.198 0.544
F 0.693 0.302 0.044
F 0.807 0.698 0.544
F 0.807 0.802 0.044
F 0.888 0.543 0.833
F 0.888 0.957 0.333

The symmetry is No. 61.

Record 20
## NaFe2F6 (PBE with a Hubbard U)

Data for an optimized crystal structure of NaFe2F6.

a = 5.413 Å, b = 5.413 Å, c = 4.851 Å
α = 90.00°, β = 90.00°, γ = 120.00°
Fractional positions:
Na 0.000 0.000 0.000
Fe 0.333 0.667 0.500
Fe 0.667 0.333 0.500
F 0.000 0.360 0.716
F 0.000 0.640 0.284
F 0.360 0.000 0.716
F 0.360 0.360 0.284
F 0.640 0.000 0.284
F 0.640 0.640 0.716

The symmetry is No. 162.

The following VASP energy values (in eV per atom) correspond, in order, to the records above: -5.061, -6.465, -6.305, -6.967, -6.018, -4.207, -4.238, -4.456, -4.634, -6.259, -6.588, -2.633, -4.793, -5.013, -5.054, -5.201, -3.673, -5.014, -4.881, -5.160.
The following M_tot values (in μB per formula unit) correspond, in order, to the records above: 5.00, 3.99, 4.26, 4.44, 5.98, 4.83, 4.78, 4.97, 3.50, 4.75, 3.12, 9.62, 4.00, 5.00, 20.39, 14.00, 7.28, 9.00, 4.00, 9.00.